Nb6ZnC: relaxed, PBE.

Unit cell a=4.8571 b=5.3915 c=5.7348 alpha=79.66 beta=65.66 gamma=86.36
Closest atoms and distances in Å follow each position.
Fractional positions:
Nb: 0.0638 0.1054 0.2486  1 C 2.12
Nb: 0.3067 0.6646 0.9550  1 C 2.19
Nb: 0.4308 0.2154 0.6612  1 C 2.22
Nb: 0.5692 0.7846 0.3388  1 C 2.22
Nb: 0.6933 0.3354 0.0450  1 C 2.19
Nb: 0.9362 0.8946 0.7514  1 C 2.12
Zn: 0.0000 0.5000 0.5000  8 Nb 2.71-2.96
C: 0.5000 0.0000 0.0000  6 Nb 2.12-2.22

Calculated values
DFT total energy ... -8.903 eV/atom
Crystal system ... triclinic
ΔH_f (0 K) ... -0.31 eV/f.u.



HoScTe2: relaxed, PBE.

Unit cell a=4.1082 b=4.1082 c=22.3104 alpha=90.00 beta=90.00 gamma=120.00
Closest atoms and distances in Å follow each position.
Fractional positions:
Ho: 0.0000 0.0000 0.0000  6 Te 3.05-3.12
Ho: 0.3333 0.6667 0.6667  6 Te 3.05-3.12
Ho: 0.6667 0.3333 0.3333  6 Te 3.05-3.12
Sc: 0.0000 0.0000 0.1723  6 Te 2.90-2.99
Sc: 0.3333 0.6667 0.8390  6 Te 2.90-2.99
Sc: 0.6667 0.3333 0.5056  6 Te 2.90-2.99
Te: 0.0000 0.0000 0.5804  3 Sc 2.90, 3 Ho 3.05
Te: 0.0000 0.0000 0.7573  3 Sc 2.99, 3 Ho 3.12
Te: 0.3333 0.6667 0.2470  3 Sc 2.90, 3 Ho 3.05
Te: 0.3333 0.6667 0.4240  3 Sc 2.99, 3 Ho 3.12
Te: 0.6667 0.3333 0.0907  3 Sc 2.99, 3 Ho 3.12
Te: 0.6667 0.3333 0.9137  3 Sc 2.90, 3 Ho 3.05

Calculated values
DFT total energy ... -5.507 eV/atom
Crystal system ... trigonal
Uncorrected formation energy ... -1.21 eV per atom
Offset from the most stable computed form ... 0.000 eV per atom



ZrSc2Co: relaxed, PBE.

Unit cell a=3.3128 b=10.9956 c=8.8024 alpha=90.00 beta=90.00 gamma=90.00
Closest atoms and distances in Å follow each position.
Fractional positions:
Zr: 0.0000 0.0726 0.2500  2 Co 2.55
Zr: 0.0000 0.9274 0.7500  2 Co 2.55
Zr: 0.5000 0.4274 0.7500  2 Co 2.55
Zr: 0.5000 0.5726 0.2500  2 Co 2.55
Sc: 0.0000 0.3630 0.0683  2 Co 2.62
Sc: 0.0000 0.3630 0.4317  2 Co 2.62
Sc: 0.0000 0.6370 0.5683  2 Co 2.62
Sc: 0.0000 0.6370 0.9317  2 Co 2.62
Sc: 0.5000 0.1370 0.5683  2 Co 2.62
Sc: 0.5000 0.1370 0.9317  2 Co 2.62
Sc: 0.5000 0.8630 0.0683  2 Co 2.62
Sc: 0.5000 0.8630 0.4317  2 Co 2.62
Co: 0.0000 0.2507 0.7500  2 Zr 2.55, 4 Sc 2.62
Co: 0.0000 0.7493 0.2500  2 Zr 2.55, 4 Sc 2.62
Co: 0.5000 0.2493 0.2500  2 Zr 2.55, 4 Sc 2.62
Co: 0.5000 0.7507 0.7500  2 Zr 2.55, 4 Sc 2.62

Calculated values
DFT total energy ... -7.292 eV/atom
Crystal system ... orthorhombic
ΔH_f (0 K) ... -0.85 eV/f.u.
Offset from the most stable computed form ... 0.000 eV per atom



TaInSe3: relaxed, PBE.

Unit cell a=5.0932 b=5.0932 c=5.0932 alpha=90.00 beta=90.00 gamma=90.00
Closest atoms and distances in Å follow each position.
Fractional positions:
Ta: 0.0000 0.0000 0.0000  12 Se 3.60
In: 0.5000 0.5000 0.5000  6 Se 2.55
Se: 0.0000 0.5000 0.5000  2 In 2.55
Se: 0.5000 0.0000 0.5000  2 In 2.55
Se: 0.5000 0.5000 0.0000  2 In 2.55

Calculated values
DFT total energy ... -3.917 eV/atom
Crystal system ... cubic
Uncorrected formation energy ... 1.09 eV per atom



Li2Ac2Au5: relaxed, PBE.

Unit cell a=4.9074 b=4.9074 c=8.7462 alpha=90.00 beta=90.00 gamma=90.00
Closest atoms and distances in Å follow each position.
Fractional positions:
Li: 0.0000 0.0000 0.1814  5 Au 2.53-2.79
Li: 0.0000 0.0000 0.8186  5 Au 2.53-2.79
Ac: 0.5000 0.5000 0.0000  8 Au 3.30
Ac: 0.5000 0.5000 0.5000  12 Au 3.28-3.47
Au: 0.0000 0.0000 0.5000  2 Li 2.79
Au: 0.0000 0.5000 0.2519  2 Li 2.53
Au: 0.0000 0.5000 0.7481  2 Li 2.53
Au: 0.5000 0.0000 0.2519  2 Li 2.53
Au: 0.5000 0.0000 0.7481  2 Li 2.53

Calculated values
DFT total energy ... -3.781 eV/atom
Crystal system ... tetragonal
ΔH_f (0 K) ... -5.60 eV/f.u.



BeTe3Rh: relaxed, PBE.

Unit cell a=5.2111 b=5.2111 c=5.2111 alpha=90.00 beta=90.00 gamma=90.00
Closest atoms and distances in Å follow each position.
Fractional positions:
Be: 0.0000 0.0000 0.0000  12 Te 3.68
Te: 0.0000 0.5000 0.5000  2 Rh 2.61
Te: 0.5000 0.0000 0.5000  2 Rh 2.61
Te: 0.5000 0.5000 0.0000  2 Rh 2.61
Rh: 0.5000 0.5000 0.5000  6 Te 2.61

Calculated values
DFT total energy ... -3.295 eV/atom
Crystal system ... cubic
Uncorrected formation energy ... 0.81 eV per atom



KReOF2: relaxed, PBE.

Unit cell a=4.3485 b=4.3485 c=3.8423 alpha=90.00 beta=90.00 gamma=90.00
Closest atoms and distances in Å follow each position.
Fractional positions:
K: 0.0000 0.0000 0.0000  8 F 2.90, 4 O 3.07
Re: 0.5000 0.5000 0.5000  2 O 1.92
O: 0.5000 0.5000 0.0000  2 Re 1.92
F: 0.0000 0.5000 0.5000  2 Re 2.17
F: 0.5000 0.0000 0.5000  2 Re 2.17

Calculated values
DFT total energy ... -6.003 eV/atom
Crystal system ... tetragonal
Uncorrected formation energy ... -1.55 eV per atom
Offset from the most stable computed form ... 0.000 eV per atom



KTi2InC: relaxed, PBE.

Unit cell a=4.4969 b=4.4969 c=5.5552 alpha=90.00 beta=90.00 gamma=90.00
Closest atoms and distances in Å follow each position.
Fractional positions:
K: 0.0000 0.0000 0.0000  4 Ti 2.25
Ti: 0.0000 0.5000 0.0000  2 K 2.25
Ti: 0.5000 0.0000 0.0000  2 K 2.25
In: 0.0000 0.0000 0.5000  2 K 2.78
C: 0.5000 0.5000 0.5000  4 In 3.18

Calculated values
DFT total energy ... -2.681 eV/atom
Crystal system ... tetragonal
ΔH_f (0 K) ... 15.44 eV/f.u.



NaScSe: relaxed, PBE.

Unit cell a=11.1189 b=11.1189 c=11.1189 alpha=22.16 beta=22.16 gamma=22.16
Closest atoms and distances in Å follow each position.
Fractional positions:
Na: 0.1221 0.1221 0.1221  3 Se 3.20
Na: 0.8779 0.8779 0.8779  3 Se 3.20
Sc: 0.3043 0.3043 0.3043  4 Se 2.66-2.87
Sc: 0.6957 0.6957 0.6957  4 Se 2.66-2.87
Se: 0.3926 0.3926 0.3926  4 Sc 2.66-2.87
Se: 0.6074 0.6074 0.6074  4 Sc 2.66-2.87

Calculated values
DFT total energy ... -4.582 eV/atom
Crystal system ... trigonal
Uncorrected formation energy ... -0.87 eV per atom



CePm3Ni2: relaxed, PBE.

Unit cell a=8.3471 b=8.3471 c=8.3471 alpha=131.72 beta=72.06 gamma=129.99
Closest atoms and distances in Å follow each position.
Fractional positions:
Ce: 0.0000 0.0000 0.0000  2 Ni 2.58
Ce: 0.5000 0.5000 0.0000  2 Ni 2.58
Pm: 0.0075 0.2500 0.7575  4 Ni 2.89-2.95
Pm: 0.2500 0.7500 0.5000  4 Ni 2.96
Pm: 0.4925 0.2500 0.2425  4 Ni 2.89-2.95
Pm: 0.5075 0.7500 0.7575  4 Ni 2.89-2.95
Pm: 0.7500 0.2500 0.5000  4 Ni 2.96
Pm: 0.9925 0.7500 0.2425  4 Ni 2.89-2.95
Ni: 0.1331 0.7290 0.8621  1 Ce 2.58
Ni: 0.3669 0.2290 0.5960  1 Ce 2.58
Ni: 0.6331 0.7710 0.4040  1 Ce 2.58
Ni: 0.8669 0.2710 0.1379  1 Ce 2.58

Calculated values
DFT total energy ... -5.397 eV/atom
Crystal system ... orthorhombic
ΔH_f (0 K) ... -0.63 eV/f.u.



BeCu2Os: relaxed, PBE.

Unit cell a=3.3078 b=3.3078 c=18.0123 alpha=90.00 beta=90.00 gamma=90.00
Closest atoms and distances in Å follow each position.
Fractional positions:
Be: 0.0000 0.0000 0.0000  4 Os 2.34, 4 Cu 2.53
Be: 0.0000 0.5000 0.2500  4 Os 2.34, 4 Cu 2.53
Be: 0.5000 0.0000 0.7500  4 Os 2.34, 4 Cu 2.53
Be: 0.5000 0.5000 0.5000  4 Os 2.34, 4 Cu 2.53
Cu: 0.2455 0.2500 0.1250  4 Cu 2.32-2.36, 2 Be 2.53, 2 Os 2.54
Cu: 0.2500 0.7455 0.3750  4 Cu 2.32-2.36, 2 Be 2.53, 2 Os 2.54
Cu: 0.2500 0.7545 0.8750  4 Cu 2.32-2.36, 2 Be 2.53, 2 Os 2.54
Cu: 0.2545 0.2500 0.6250  4 Cu 2.32-2.36, 2 Be 2.53, 2 Os 2.54
Cu: 0.7455 0.7500 0.6250  4 Cu 2.32-2.36, 2 Be 2.53, 2 Os 2.54
Cu: 0.7500 0.2455 0.8750  4 Cu 2.32-2.36, 2 Be 2.53, 2 Os 2.54
Cu: 0.7500 0.2545 0.3750  4 Cu 2.32-2.36, 2 Be 2.53, 2 Os 2.54
Cu: 0.7545 0.7500 0.1250  4 Cu 2.32-2.36, 2 Be 2.53, 2 Os 2.54
Os: 0.0000 0.0000 0.5000  4 Be 2.34, 4 Cu 2.54
Os: 0.0000 0.5000 0.7500  4 Be 2.34, 4 Cu 2.54
Os: 0.5000 0.0000 0.2500  4 Be 2.34, 4 Cu 2.54
Os: 0.5000 0.5000 0.0000  4 Be 2.34, 4 Cu 2.54

Calculated values
DFT total energy ... -5.347 eV/atom
Crystal system ... tetragonal
ΔH_f (0 K) ... 1.76 eV/f.u.



PmPr3Ru: relaxed, PBE.

Unit cell a=5.5849 b=5.5849 c=5.5849 alpha=90.00 beta=90.00 gamma=90.00
Closest atoms and distances in Å follow each position.
Fractional positions:
Pm: 0.0000 0.0000 0.0000  12 Pr 3.95
Pr: 0.0000 0.5000 0.5000  2 Ru 2.79
Pr: 0.5000 0.0000 0.5000  2 Ru 2.79
Pr: 0.5000 0.5000 0.0000  2 Ru 2.79
Ru: 0.5000 0.5000 0.5000  6 Pr 2.79

Calculated values
DFT total energy ... -5.618 eV/atom
Crystal system ... cubic
ΔH_f (0 K) ... 0.27 eV/f.u.
Offset from the most stable computed form ... 0.192 eV per atom



Question: What is the DFT total energy in the first record?
Answer: -8.903 eV/atom